No. 1
The following is a PBE-GGA calculation of La2AlMo after structural relaxation, from the Alexandria database.

Output
For the formation energy, the calculation gives 449.8 meV/atom. The energy comes out at -22.63 eV for the cell shown.

The structure in extended XYZ format:
```
4
Lattice="9.695 -0.026 -0.016 9.036 3.514 -0.016 9.036 1.682 3.085" Properties=species:S:1:pos:R:3 pbc="T T T"
La 14.094 2.624 1.550
La 27.557 5.131 3.031
Al 20.825 3.877 2.290
Mo 6.942 1.292 0.763
```

No. 2
The following is a PBE-GGA calculation of La2AlMo after structural relaxation, from the Alexandria database.

Output
For the formation energy, the calculation gives 291.9 meV/atom. The energy comes out at -23.26 eV for the cell shown.

The structure in extended XYZ format:
```
4
Lattice="-0.210 -9.345 -0.946 2.467 -8.948 1.456 -0.975 -8.984 2.572" Properties=species:S:1:pos:R:3 pbc="T T T"
Mo 0.626 -13.325 1.506
Al 0.983 -20.907 2.362
La 0.297 -6.318 0.714
La 0.017 -0.366 0.041
```

No. 3
The following is a PBE-GGA calculation of LaAlMo after structural relaxation, from the Alexandria database.

Output
For the formation energy, the calculation gives 262.7 meV/atom. The value obtained for the excess energy over the best structure of this formula in the dataset is 152 meV per atom. The energy comes out at -18.71 eV for the cell shown.

The structure in extended XYZ format:
```
3
Lattice="-1.662 -1.958 3.763 -2.015 -0.719 -4.022 2.312 -3.119 -0.601" Properties=species:S:1:pos:R:3 pbc="T T T"
Al 1.927 -2.599 -0.501
La -1.127 -2.171 -1.627
Mo 0.147 -4.143 0.667
```

No. 4
The following is a PBE-GGA calculation of LaAl3Mo after structural relaxation, from the Alexandria database.

Output
For the formation energy, the calculation gives 2159.1 meV/atom. The value obtained for the excess energy over the best structure of this formula in the dataset is 2317 meV per atom. The energy comes out at -16.19 eV for the cell shown.

The structure in extended XYZ format:
```
5
Lattice="5.236 0.000 0.000 0.000 5.236 0.000 0.000 0.000 5.236" Properties=species:S:1:pos:R:3 pbc="T T T"
Al 2.618 0.000 0.000
Al 0.000 0.000 2.618
Al 0.000 2.618 0.000
La 0.000 0.000 0.000
Mo 2.618 2.618 2.618
```

No. 5
The following is a PBE-GGA calculation of La2AlMo after structural relaxation, from the Alexandria database.

Output
For the formation energy, the calculation gives 101.9 meV/atom. The energy comes out at -24.02 eV for the cell shown.

The structure in extended XYZ format:
```
4
Lattice="4.498 0.000 0.000 0.000 4.169 0.045 0.000 2.021 5.836" Properties=species:S:1:pos:R:3 pbc="T T T"
La 2.249 1.803 1.981
La 0.000 5.936 5.356
Al 2.249 3.862 4.373
Mo 0.000 3.876 2.992
```

No. 6
The following is a PBE-GGA calculation of LaAlMo after structural relaxation, from the Alexandria database.

Output
For the formation energy, the calculation gives 111.1 meV/atom. The value obtained for the excess energy over the best structure of this formula in the dataset is 0 meV per atom. The energy comes out at -19.17 eV for the cell shown.

The structure in extended XYZ format:
```
3
Lattice="-0.081 1.233 5.511 -3.292 -0.207 4.584 0.804 -3.007 1.886" Properties=species:S:1:pos:R:3 pbc="T T T"
La -0.618 -1.634 4.679
Al 0.613 -2.822 2.262
Mo -1.761 -0.530 6.927
```

No. 7
The following is a PBE-GGA calculation of La2AlMo after structural relaxation, from the Alexandria database.

Output
For the formation energy, the calculation gives 29.2 meV/atom. The energy comes out at -24.31 eV for the cell shown.

The structure in extended XYZ format:
```
4
Lattice="-2.656 -2.466 0.316 2.317 -2.288 1.622 -1.996 3.071 7.183" Properties=species:S:1:pos:R:3 pbc="T T T"
La -0.796 -1.412 3.225
La -1.824 2.807 6.564
Al -1.536 -0.274 5.887
Mo -1.172 1.804 4.219
```

No. 8
The following is a PBE-GGA calculation of LaAl2Mo after structural relaxation, from the Alexandria database.

Output
For the formation energy, the calculation gives 41.7 meV/atom. The value obtained for the excess energy over the best structure of this formula in the dataset is 171 meV per atom. The energy comes out at -23.08 eV for the cell shown.

The structure in extended XYZ format:
```
4
Lattice="5.135 0.003 -0.008 1.292 4.970 0.008 -3.204 -2.498 3.140" Properties=species:S:1:pos:R:3 pbc="T T T"
La 2.572 -0.004 1.566
Al 0.001 0.001 0.000
Al 3.212 2.486 0.000
Mo 0.650 2.479 1.574
```

No. 9
The following is a PBE-GGA calculation of LaAlMo after structural relaxation, from the Alexandria database.

Output
For the formation energy, the calculation gives 455.5 meV/atom. The value obtained for the excess energy over the best structure of this formula in the dataset is 344 meV per atom. The energy comes out at -18.13 eV for the cell shown.

The structure in extended XYZ format:
```
3
Lattice="4.599 0.000 0.000 2.299 3.983 0.000 2.299 1.328 3.755" Properties=species:S:1:pos:R:3 pbc="T T T"
La 4.599 2.655 1.877
Mo 6.898 3.983 2.816
Al 0.000 0.000 0.000
```

No. 10
The following is a PBE-GGA calculation of LaAl2Mo after structural relaxation, from the Alexandria database.

Output
For the formation energy, the calculation gives 65.3 meV/atom. The value obtained for the excess energy over the best structure of this formula in the dataset is 195 meV per atom. The energy comes out at -22.98 eV for the cell shown.

The structure in extended XYZ format:
```
4
Lattice="3.017 0.000 0.000 0.000 3.729 0.000 0.000 0.000 7.340" Properties=species:S:1:pos:R:3 pbc="T T T"
La 0.000 0.000 3.773
Al 0.000 0.000 7.217
Al 1.509 1.864 1.374
Mo 1.509 1.864 5.987
```

No. 11
The following is a PBE-GGA calculation of LaAl2Mo after structural relaxation, from the Alexandria database.

Output
For the formation energy, the calculation gives 15.6 meV/atom. The value obtained for the excess energy over the best structure of this formula in the dataset is 145 meV per atom. The energy comes out at -23.18 eV for the cell shown.

The structure in extended XYZ format:
```
4
Lattice="4.771 -0.003 0.008 3.879 2.777 0.008 0.691 0.222 6.331" Properties=species:S:1:pos:R:3 pbc="T T T"
La 2.335 0.749 1.587
Al 4.623 1.483 3.625
Al 0.739 0.237 5.879
Mo 7.006 2.247 4.760
```

No. 12
The following is a PBE-GGA calculation of La2AlMo after structural relaxation, from the Alexandria database.

Output
For the formation energy, the calculation gives 228.7 meV/atom. The energy comes out at -23.51 eV for the cell shown.

The structure in extended XYZ format:
```
4
Lattice="3.822 0.000 0.000 0.000 3.810 0.326 0.000 3.198 7.298" Properties=species:S:1:pos:R:3 pbc="T T T"
La 0.000 3.809 0.387
La 0.000 3.505 3.751
Al 1.911 5.256 5.718
Mo 1.911 1.752 1.906
```

No. 13
The following is a PBE-GGA calculation of LaAl2Mo after structural relaxation, from the Alexandria database.

Output
For the formation energy, the calculation gives 317.2 meV/atom. The value obtained for the excess energy over the best structure of this formula in the dataset is 447 meV per atom. The energy comes out at -21.97 eV for the cell shown.

The structure in extended XYZ format:
```
4
Lattice="10.301 -0.016 -0.010 9.864 2.968 -0.010 9.864 1.444 2.593" Properties=species:S:1:pos:R:3 pbc="T T T"
La 14.994 2.194 1.285
Al 0.063 0.009 0.005
Al 7.832 1.146 0.671
Mo 22.156 3.243 1.899
```

No. 14
The following is a PBE-GGA calculation of La2Al2Mo after structural relaxation, from the Alexandria database.

Output
For the formation energy, the calculation gives 325.1 meV/atom. The value obtained for the excess energy over the best structure of this formula in the dataset is 0 meV per atom. The energy comes out at -26.55 eV for the cell shown.

The structure in extended XYZ format:
```
5
Lattice="3.668 0.000 0.000 0.000 3.668 0.000 1.834 1.834 9.550" Properties=species:S:1:pos:R:3 pbc="T T T"
La 3.668 3.668 7.757
La 1.834 1.834 1.793
Mo 0.000 0.000 0.000
Al 3.668 1.834 4.775
Al 1.834 3.668 4.775
```

No. 15
The following is a PBE-GGA calculation of LaAl2Mo after structural relaxation, from the Alexandria database.

Output
For the formation energy, the calculation gives 220.6 meV/atom. The value obtained for the excess energy over the best structure of this formula in the dataset is 350 meV per atom. The energy comes out at -22.36 eV for the cell shown.

The structure in extended XYZ format:
```
4
Lattice="4.795 -0.001 0.000 0.007 4.795 0.000 -2.401 -2.397 3.388" Properties=species:S:1:pos:R:3 pbc="T T T"
Al 0.004 2.397 1.694
Al 0.000 0.000 0.000
Mo 2.397 0.000 1.694
La 2.401 2.397 0.000
```

No. 16
The following is a PBE-GGA calculation of LaAlMo3 after structural relaxation, from the Alexandria database.

Output
For the formation energy, the calculation gives 2226.7 meV/atom. The value obtained for the excess energy over the best structure of this formula in the dataset is 1082 meV per atom. The energy comes out at -30.03 eV for the cell shown.

The structure in extended XYZ format:
```
5
Lattice="4.796 0.000 0.000 0.000 4.796 0.000 0.000 0.000 4.796" Properties=species:S:1:pos:R:3 pbc="T T T"
Mo 0.000 2.398 0.000
Mo 2.398 0.000 0.000
Mo 0.000 0.000 2.398
La 0.000 0.000 0.000
Al 2.398 2.398 2.398
```

No. 17
The following is a PBE-GGA calculation of La2AlMo after structural relaxation, from the Alexandria database.

Output
For the formation energy, the calculation gives 464.6 meV/atom. The energy comes out at -22.57 eV for the cell shown.

The structure in extended XYZ format:
```
4
Lattice="5.801 0.070 -0.425 4.916 3.080 -0.425 0.427 0.125 5.407" Properties=species:S:1:pos:R:3 pbc="T T T"
Al 8.358 2.456 3.418
La 0.323 0.095 0.066
La 5.250 1.543 2.213
Mo 2.786 0.819 1.139
```